No. 1
Computed, not measured: a relaxed structure of SbAuNF2 at the PBE-GGA level of DFT.

a = 4.3400 Å, b = 4.3400 Å, c = 4.1552 Å
α = 90.00°, β = 90.00°, γ = 90.00°
Closest atoms and distances in Å follow each position.
Sites, in units of the cell vectors:
Sb: 0.0000 0.0000 0.0000  2 N 2.08, 4 F 2.17
Au: 0.5000 0.5000 0.5000  8 F 3.00, 4 N 3.07
N: 0.0000 0.0000 0.5000  2 Sb 2.08
F: 0.0000 0.5000 0.0000  2 Sb 2.17
F: 0.5000 0.0000 0.0000  2 Sb 2.17

Summary:
As for the formation energy without anion corrections: -258 meV per atom. As for the energy relative to the lowest polymorph listed for this composition: 0.0 meV/atom. For the calculated total energy, the calculation gives -4.152 eV per atom.

No. 2
Computed, not measured: a relaxed structure of Sb2AuNF at the PBE-GGA level of DFT.

a = 4.7665 Å, b = 4.7665 Å, c = 4.5938 Å
α = 90.00°, β = 90.00°, γ = 90.00°
Closest atoms and distances in Å follow each position.
Sites, in units of the cell vectors:
Sb: 0.0000 0.5000 0.0000  2 F 2.38
Sb: 0.5000 0.0000 0.0000  2 F 2.38
Au: 0.0000 0.0000 0.5000  2 F 2.30
N: 0.5000 0.5000 0.5000  8 Sb 3.31, 4 Au 3.37
F: 0.0000 0.0000 0.0000  2 Au 2.30, 4 Sb 2.38

Summary:
As for the formation energy without anion corrections: 1115 meV per atom. For the calculated total energy, the calculation gives -3.229 eV per atom.

No. 3
Computed, not measured: a relaxed structure of SbAuNF2 at the PBE-GGA level of DFT.

a = 4.5441 Å, b = 4.5441 Å, c = 3.9333 Å
α = 90.00°, β = 90.00°, γ = 90.00°
Closest atoms and distances in Å follow each position.
Sites, in units of the cell vectors:
Sb: 0.0000 0.0000 0.0000  8 F 3.00, 4 N 3.21
Au: 0.5000 0.5000 0.5000  2 N 1.97
N: 0.5000 0.5000 0.0000  2 Au 1.97
F: 0.0000 0.5000 0.5000  2 Au 2.27
F: 0.5000 0.0000 0.5000  2 Au 2.27

Summary:
As for the formation energy without anion corrections: 245 meV per atom. As for the energy relative to the lowest polymorph listed for this composition: 503.6 meV/atom. For the calculated total energy, the calculation gives -3.648 eV per atom.

No. 4
Computed, not measured: a relaxed structure of SbAuN2F at the PBE-GGA level of DFT.

a = 4.0996 Å, b = 4.0996 Å, c = 4.1186 Å
α = 90.00°, β = 90.00°, γ = 90.00°
Closest atoms and distances in Å follow each position.
Sites, in units of the cell vectors:
Sb: 0.0000 0.0000 0.0000  4 N 2.05, 2 F 2.06
Au: 0.5000 0.5000 0.5000  4 F 2.90, 8 N 2.91
N: 0.0000 0.5000 0.0000  2 Sb 2.05
N: 0.5000 0.0000 0.0000  2 Sb 2.05
F: 0.0000 0.0000 0.5000  2 Sb 2.06

Summary:
As for the formation energy without anion corrections: 761 meV per atom. As for the energy relative to the lowest polymorph listed for this composition: 0.0 meV/atom. For the calculated total energy, the calculation gives -4.424 eV per atom.

No. 5
Computed, not measured: a relaxed structure of SbAuN2F at the PBE-GGA level of DFT.

a = 4.1532 Å, b = 4.1532 Å, c = 4.1867 Å
α = 90.00°, β = 90.00°, γ = 90.00°
Closest atoms and distances in Å follow each position.
Sites, in units of the cell vectors:
Sb: 0.0000 0.0000 0.0000  4 F 2.94, 8 N 2.95
Au: 0.5000 0.5000 0.5000  4 N 2.08, 2 F 2.09
N: 0.0000 0.5000 0.5000  2 Au 2.08
N: 0.5000 0.0000 0.5000  2 Au 2.08
F: 0.5000 0.5000 0.0000  2 Au 2.09

Summary:
As for the formation energy without anion corrections: 1142 meV per atom. As for the energy relative to the lowest polymorph listed for this composition: 380.9 meV/atom. For the calculated total energy, the calculation gives -4.043 eV per atom.

No. 6
Computed, not measured: a relaxed structure of ScAuNF2 at the PBE-GGA level of DFT.

a = 3.9276 Å, b = 3.9276 Å, c = 4.6429 Å
α = 90.00°, β = 90.00°, γ = 90.00°
Closest atoms and distances in Å follow each position.
Sites, in units of the cell vectors:
Sc: 0.0000 0.0000 0.0000  4 F 1.96
Au: 0.5000 0.5000 0.5000  4 N 2.78, 8 F 3.04
N: 0.0000 0.0000 0.5000  2 Sc 2.32
F: 0.0000 0.5000 0.0000  2 Sc 1.96
F: 0.5000 0.0000 0.0000  2 Sc 1.96

Summary:
As for the formation energy without anion corrections: -1409 meV per atom. As for the energy relative to the lowest polymorph listed for this composition: 0.0 meV/atom. For the calculated total energy, the calculation gives -5.744 eV per atom.